Density functional theory data (GGA-PBE) for crystalline La4Sc at its relaxed geometry.

Lattice parameters (Å, degrees): 8.1436 8.1436 5.0870 90.00 90.00 90.00
With the nearest neighbours (Å) after each atom.
Space group I4/m (No. 87)
Asymmetric unit:
1 La 0.1032 0.7066 0.0000  9 La 3.56-3.76, 3 Sc 3.59-3.64
2 Sc 0.0000 0.0000 0.5000  12 La 3.59-3.64

Values from the calculation:
Volume ... 33.736 Å³ per atom
ΔE to the lowest computed polymorph ... 5 meV/atom
Calculated formation energy ... 0.041 eV/atom
Total magnetic moment ... 0.00 μB per formula unit